Computed, not measured: a geometry-optimized Li4ErAu5 structure at the PBE-GGA level of DFT.

Cell and atoms, written as extended XYZ:
```
10
Lattice="-1.192 1.332 2.819 -3.078 -0.987 -0.836 2.302 -13.337 7.273" Properties=species:S:1:pos:R:3 pbc="T T T"
Li 0.508 -2.946 1.606
Li 0.936 -5.423 2.957
Li 1.366 -7.914 4.316
Li 1.793 -10.391 5.666
Er 0.000 0.000 0.000
Au -1.852 -1.465 1.885
Au -1.416 -3.992 3.263
Au -0.984 -6.496 4.628
Au -0.552 -9.000 5.994
Au -0.116 -11.527 7.372
```

Results
Symmetry: No. 123
Electronic total energy, eV per cell: -34.6

***

Computed, not measured: a geometry-optimized SrTe2 structure at the PBE-GGA level of DFT.

Cell and atoms, written as extended XYZ:
```
12
Lattice="4.454 0.000 0.000 0.000 8.100 0.000 0.000 0.000 11.259" Properties=species:S:1:pos:R:3 pbc="T T T"
Sr 1.113 5.598 3.951
Sr 3.340 6.551 9.581
Sr 1.113 1.548 1.678
Sr 3.340 2.501 7.308
Te 1.113 0.995 9.451
Te 3.340 3.055 3.821
Te 1.113 5.045 7.438
Te 3.340 7.105 1.808
Te 1.113 0.879 5.111
Te 3.340 3.171 10.740
Te 1.113 4.929 0.519
Te 3.340 7.221 6.148
```

Results
Symmetry: No. 62
Electronic total energy, eV per cell: -45.4

***

Computed, not measured: a geometry-optimized Sr2Li3Au2 structure at the PBE-GGA level of DFT.

Cell and atoms, written as extended XYZ:
```
7
Lattice="-2.581 -0.574 -3.489 5.684 -1.777 -1.166 -4.167 -5.373 3.966" Properties=species:S:1:pos:R:3 pbc="T T T"
Sr 0.993 -2.996 -2.987
Sr -2.056 -4.728 2.299
Li -1.290 -0.287 -1.744
Li -1.712 -3.237 -0.947
Li 0.648 -4.487 0.259
Au -1.489 -5.999 -0.658
Au 0.425 -1.725 -0.031
```

Results
Symmetry: No. 12
Electronic total energy, eV per cell: -19.0

***

Computed, not measured: a geometry-optimized ScTi2Sn structure at the PBE-GGA level of DFT.

Cell and atoms, written as extended XYZ:
```
4
Lattice="4.306 0.000 0.000 0.000 4.248 0.000 0.000 0.000 4.248" Properties=species:S:1:pos:R:3 pbc="T T T"
Sc 2.153 2.124 2.124
Sn 2.153 0.000 0.000
Ti 0.000 0.000 2.124
Ti 0.000 2.124 0.000
```

Results
Symmetry: No. 123
Electronic total energy, eV per cell: -27.1

***

Computed, not measured: a geometry-optimized BaY2Cl structure at the PBE-GGA level of DFT.

Cell and atoms, written as extended XYZ:
```
4
Lattice="-4.380 -3.050 -2.712 2.856 0.553 -5.233 1.822 -3.199 0.656" Properties=species:S:1:pos:R:3 pbc="T T T"
Ba -1.279 -3.125 -1.028
Cl 2.339 -1.323 -2.288
Y 0.000 0.000 0.000
Y -0.762 -1.249 -3.973
```

Results
Symmetry: No. 123
Electronic total energy, eV per cell: -16.5
Offset from the most stable computed form, meV/atom: 645

***

Computed, not measured: a geometry-optimized K2OsRh structure at the PBE-GGA level of DFT.

Cell and atoms, written as extended XYZ:
```
4
Lattice="4.016 0.000 0.000 0.000 2.811 0.035 0.000 2.946 10.119" Properties=species:S:1:pos:R:3 pbc="T T T"
K 0.000 2.849 9.202
K 2.008 1.522 3.438
Os 0.000 2.908 5.953
Rh 2.008 4.303 6.759
```

Results
Symmetry: No. 6
Electronic total energy, eV per cell: -18.4
Offset from the most stable computed form, meV/atom: 0

***

Computed, not measured: a geometry-optimized ThZr2Co9 structure at the PBE-GGA level of DFT.

Cell and atoms, written as extended XYZ:
```
12
Lattice="4.704 0.000 1.400 2.143 4.187 1.400 0.028 0.017 8.507" Properties=species:S:1:pos:R:3 pbc="T T T"
Th 0.000 0.000 0.000
Zr 5.897 3.606 5.991
Zr 0.978 0.598 5.316
Co 4.550 2.782 1.915
Co 2.325 1.422 9.392
Co 3.438 2.102 5.653
Co 2.830 1.730 3.327
Co 5.219 1.730 4.038
Co 3.918 3.857 4.038
Co 4.046 2.474 7.980
Co 2.957 0.347 7.269
Co 1.656 2.474 7.269
```

Results
Symmetry: No. 166
Electronic total energy, eV per cell: -91.5

***

Computed, not measured: a geometry-optimized Sm2Y7Ho3 structure at the PBE-GGA level of DFT.

Cell and atoms, written as extended XYZ:
```
12
Lattice="-1.478 -3.068 1.159 5.064 -2.726 -0.755 3.873 4.809 17.670" Properties=species:S:1:pos:R:3 pbc="T T T"
Sm 3.969 -2.036 5.256
Sm 3.490 1.052 12.818
Y 4.809 -1.331 8.193
Y 2.650 0.347 9.881
Y 3.994 -1.166 2.009
Y 0.000 0.000 0.000
Y 4.943 3.249 14.906
Y 6.580 0.192 14.484
Y 0.878 -1.176 3.590
Ho 1.793 -2.897 0.202
Ho 2.535 1.175 6.343
Ho 6.402 0.909 10.572
```

Results
Symmetry: No. 10
Electronic total energy, eV per cell: -67.4
Offset from the most stable computed form, meV/atom: 9

***

Computed, not measured: a geometry-optimized Rb3In2Ge4 structure at the PBE-GGA level of DFT.

Cell and atoms, written as extended XYZ:
```
9
Lattice="4.533 0.005 0.005 2.262 6.899 1.317 2.258 4.528 10.738" Properties=species:S:1:pos:R:3 pbc="T T T"
Rb 4.526 3.077 7.212
Rb 0.000 0.000 0.000
Rb 4.527 8.354 4.848
In 4.530 4.555 3.713
In 4.523 6.877 8.346
Ge 4.522 7.556 10.953
Ge 6.790 6.023 7.239
Ge 2.262 5.409 4.821
Ge 4.531 3.875 1.107
```

Results
Symmetry: No. 12
Electronic total energy, eV per cell: -27.7

***

Computed, not measured: a geometry-optimized Mo3Au structure at the PBE-GGA level of DFT.

Cell and atoms, written as extended XYZ:
```
8
Lattice="-2.059 4.002 0.469 -3.789 -1.613 -2.873 -2.704 -1.936 4.653" Properties=species:S:1:pos:R:3 pbc="T T T"
Mo -3.643 0.888 -1.748
Mo -3.825 -1.815 -1.307
Mo -2.345 1.235 0.995
Mo -2.527 -1.468 1.436
Mo -5.244 -2.831 1.135
Mo -3.631 0.315 3.207
Au -1.274 -0.542 -0.966
Au -4.896 -0.037 0.654
```

Results
Symmetry: No. 59
Electronic total energy, eV per cell: -69.9

***

Computed, not measured: a geometry-optimized Th6OsRh2C3 structure at the PBE-GGA level of DFT.

Cell and atoms, written as extended XYZ:
```
12
Lattice="3.864 0.000 0.000 0.000 7.990 -0.032 -1.932 -2.636 8.402" Properties=species:S:1:pos:R:3 pbc="T T T"
Th 0.000 5.557 5.429
Th 1.932 4.188 2.512
Th 1.932 -0.203 2.942
Th 0.000 2.052 0.092
Th 1.932 3.302 8.279
Th 0.000 1.166 5.858
Os 1.932 0.000 0.000
Rh 1.932 3.256 5.209
Rh 0.000 2.098 3.161
C 1.932 3.995 -0.016
C 1.932 -0.554 5.519
C 0.000 5.908 2.852
```

Results
Symmetry: No. 12
Electronic total energy, eV per cell: -102.6

***

Computed, not measured: a geometry-optimized ZrScCoNi2 structure at the PBE-GGA level of DFT.

Cell and atoms, written as extended XYZ:
```
5
Lattice="-0.832 -2.004 -3.666 4.629 -1.910 -0.007 -1.395 -3.390 2.170" Properties=species:S:1:pos:R:3 pbc="T T T"
Sc 0.000 0.000 0.000
Ni -0.698 -1.695 1.085
Ni -0.416 -1.002 -1.833
Co 1.201 -3.652 -0.751
Zr 2.315 -0.955 -0.003
```

Results
Symmetry: No. 123
Electronic total energy, eV per cell: -27.0

***

Copy entry 10 word for word.
Computed, not measured: a geometry-optimized Mo3Au structure at the PBE-GGA level of DFT.

Cell and atoms, written as extended XYZ:
```
8
Lattice="-2.059 4.002 0.469 -3.789 -1.613 -2.873 -2.704 -1.936 4.653" Properties=species:S:1:pos:R:3 pbc="T T T"
Mo -3.643 0.888 -1.748
Mo -3.825 -1.815 -1.307
Mo -2.345 1.235 0.995
Mo -2.527 -1.468 1.436
Mo -5.244 -2.831 1.135
Mo -3.631 0.315 3.207
Au -1.274 -0.542 -0.966
Au -4.896 -0.037 0.654
```

Results
Symmetry: No. 59
Electronic total energy, eV per cell: -69.9

***

Which formula does entry 7 have?
ThZr2Co9